Below is a relaxed structure of MoSCl2F, with properties calculated at the PBE+U level.

Output
- energy (eV per atom) = -3.61
- ρ (g/cm3) = 3.141
- DOS(E_F) (states/eV/f.u.) = 4.83
- spin magnetization (μB/f.u.) = 1.00

Cell: 4.9113 4.9113 4.7752 Å, 90.00 90.00 90.00°
Closest atoms and distances in Å follow each position.
Element x y z (fractional)
Mo  0.0000  0.0000  0.0000  2 S 2.39, 4 Cl 2.46
S  0.0000  0.0000  0.5000  2 Mo 2.39
Cl  0.0000  0.5000  0.0000  2 Mo 2.46
Cl  0.5000  0.0000  0.0000  2 Mo 2.46
F  0.5000  0.5000  0.5000  8 Cl 3.43, 4 S 3.47